(1)
A geometry-optimized YTc2Cl structure. Source: the Alexandria database, functional PBE.

Computed properties:
- calculated density (g/cm³) = 6.54
- formation energy from raw total energies (eV per atom) = 0.1589
- size of the total moment (μB per cell) = 0.0
- total DFT energy (no corrections) (eV per cell) = -28.4
- Fermi-level density of states (states/eV/f.u.) = 2.04
- excess energy over the best structure of this formula in the dataset (eV per formula unit) = 1.80

a b c (Å): 5.260 5.260 5.260
angles (deg): 139.82 117.40 77.05
Positions (direct):
Cl 0.218 0.718 0.500
Tc 0.991 0.991 0.000
Tc 0.809 0.309 0.500
Y 0.481 0.481 0.000


(2)
A geometry-optimized YTcCl2 structure. Source: the Alexandria database, functional PBE.

Computed properties:
- calculated density (g/cm³) = 4.19
- formation energy from raw total energies (eV per atom) = -0.6322
- size of the total moment (μB per cell) = 0.0
- total DFT energy (no corrections) (eV per cell) = -23.1
- Fermi-level density of states (states/eV/f.u.) = 1.82
- excess energy over the best structure of this formula in the dataset (eV per formula unit) = 0.10

a b c (Å): 6.861 6.861 6.861
angles (deg): 148.76 142.23 49.80
Positions (direct):
Y 0.250 0.750 0.500
Tc 0.750 0.250 0.500
Cl 0.886 0.886 0.000
Cl 0.614 0.614 0.000


(3)
A geometry-optimized YTcCl2 structure. Source: the Alexandria database, functional PBE.

Computed properties:
- calculated density (g/cm³) = 4.29
- formation energy from raw total energies (eV per atom) = -0.6349
- size of the total moment (μB per cell) = 0.0
- total DFT energy (no corrections) (eV per cell) = -23.1
- Fermi-level density of states (states/eV/f.u.) = 1.76
- excess energy over the best structure of this formula in the dataset (eV per formula unit) = 0.09

a b c (Å): 9.283 9.283 9.283
angles (deg): 22.16 22.16 22.16
Positions (direct):
Y 0.755 0.755 0.755
Tc 0.505 0.505 0.505
Cl 0.022 0.022 0.022
Cl 0.218 0.218 0.218


(4)
A geometry-optimized YTcCl2 structure. Source: the Alexandria database, functional PBE.

Computed properties:
- calculated density (g/cm³) = 4.96
- formation energy from raw total energies (eV per atom) = -0.4068
- size of the total moment (μB per cell) = 2.0
- total DFT energy (no corrections) (eV per cell) = -22.2
- Fermi-level density of states (states/eV/f.u.) = 3.19
- excess energy over the best structure of this formula in the dataset (eV per formula unit) = 1.01

a b c (Å): 3.728 3.726 6.219
angles (deg): 90.00 90.00 90.00
Last column: magnetic moment on the atom in μB.
Positions (direct):
Y 0.500 0.500 0.751  -0.11
Tc 0.000 0.000 0.520  1.93
Cl 0.000 0.000 0.924  0.00
Cl 0.500 0.500 0.305  0.07